Entry 1:
Below is a geometry-optimized NpInRuO6 structure, with properties calculated at the GGA-PBE level.

Properties
formation energy from raw total energies: -1.711 eV per atom
space group: P-31c (163)

a b c (Å): 5.4127 5.4127 8.9251
angles (deg): 90.00 90.00 120.00
Sites, in units of the cell vectors:
Np  0.3333  0.6667  0.2500
Np  0.6667  0.3333  0.7500
In  0.3333  0.6667  0.7500
In  0.6667  0.3333  0.2500
Ru  0.0000  0.0000  0.0000
Ru  0.0000  0.0000  0.5000
O  0.0159  0.3271  0.1232
O  0.0159  0.6888  0.3768
O  0.3112  0.3271  0.3768
O  0.3112  0.9841  0.1232
O  0.3271  0.0159  0.6232
O  0.3271  0.3112  0.8768
O  0.6729  0.6888  0.1232
O  0.6729  0.9841  0.3768
O  0.6888  0.0159  0.8768
O  0.6888  0.6729  0.6232
O  0.9841  0.3112  0.6232
O  0.9841  0.6729  0.8768

Entry 2:
Below is a geometry-optimized IrPb structure, with properties calculated at the GGA-PBE level.

Properties
space group: Cm (8)
formation energy: 461 meV per atom

a b c (Å): 6.4522 6.4522 7.1487
angles (deg): 108.14 108.14 27.18
Sites, in units of the cell vectors:
Ir  0.0000  0.0000  0.0000
Ir  0.0132  0.0132  0.4112
Ir  0.3725  0.3725  0.1435
Pb  0.3976  0.3976  0.6420
Pb  0.6710  0.6710  0.8088
Pb  0.6820  0.6820  0.2795

Entry 3:
Below is a geometry-optimized Pr2ThZn structure, with properties calculated at the GGA-PBE level.

Properties
offset from the most stable computed form: 148 meV/atom
space group: R3m (160)
formation energy: 19 meV per atom

a b c (Å): 10.8999 10.8999 10.8999
angles (deg): 19.32 19.32 19.32
Sites, in units of the cell vectors:
Pr  0.0000  0.0000  0.0000
Pr  0.1869  0.1869  0.1869
Th  0.4271  0.4271  0.4271
Zn  0.5932  0.5932  0.5932

| no. | size of the total moment (Bohr magnetons per cell) |
| --- | --- |
| 1 | 4.10 |
| 2 | 0.00 |
| 3 | 0.00 |